Entry 1:
First-principles (PBE) data for crystalline TaCr2W at its relaxed geometry, as listed in Alexandria.

Cell lengths 3.0653, 3.0653, 6.1758 Å; angles 90.00, 90.00, 90.00 degrees
Space group P4mm (No. 99)
Asymmetric unit:
Ta: 0.0000 0.0000 0.0000 [1 per cell]
Cr: 0.0000 0.0000 0.5220 [1 per cell]
Cr: 0.5000 0.5000 0.7486 [1 per cell]
W: 0.5000 0.5000 0.2834 [1 per cell]

Calculated values
Distance to the lowest polymorph of the same formula = 0.086 eV/atom

Entry 2:
First-principles (PBE) data for crystalline Ta5CrW4 at its relaxed geometry, as listed in Alexandria.

Cell lengths 3.2205, 3.2205, 16.0859 Å; angles 90.00, 90.00, 90.00 degrees
Space group P4/mmm (No. 123)
Asymmetric unit:
Ta: 0.0000 0.0000 0.0000 [1 per cell]
Ta: 0.0000 0.0000 0.2031 [2 per cell]
Ta: 0.0000 0.0000 0.4056 [2 per cell]
Cr: 0.5000 0.5000 0.5000 [1 per cell]
W: 0.5000 0.5000 0.1016 [2 per cell]
W: 0.5000 0.5000 0.3044 [2 per cell]

Entry 3:
First-principles (PBE) data for crystalline TaCr2W at its relaxed geometry, as listed in Alexandria.

Cell lengths 3.0991, 4.4429, 8.4623 Å; angles 90.00, 90.00, 90.00 degrees
Space group Immm (No. 71)
Asymmetric unit:
Ta: 0.0000 0.0000 0.0000 [2 per cell]
Cr: 0.0000 0.5000 0.2464 [4 per cell]
W: 0.0000 0.0000 0.5000 [2 per cell]

Calculated values
Distance to the lowest polymorph of the same formula = 0.119 eV/atom

Entry 4:
First-principles (PBE) data for crystalline TaCr2W at its relaxed geometry, as listed in Alexandria.

Cell lengths 4.3343, 4.3343, 3.0567 Å; angles 90.00, 90.00, 90.00 degrees
Space group P4/mmm (No. 123)
Asymmetric unit:
Ta: 0.0000 0.0000 0.0000 [1 per cell]
Cr: 0.0000 0.5000 0.5000 [2 per cell]
W: 0.5000 0.5000 0.0000 [1 per cell]

Calculated values
Distance to the lowest polymorph of the same formula = 0.008 eV/atom

| no. | ΔH_f (0 K) (meV/atom) |
| --- | --- |
| 1 | 45 |
| 2 | -75 |
| 3 | 79 |
| 4 | -33 |